Ac2CeSn3 after structural relaxation, computed with PBE-GGA.

Properties
total magnetic moment: 0.9 μB/f.u.
DOS(E_F): 43.6 states/eV per cell
formation enthalpy at 0 K: -12.5 kcal/mol of atoms
crystal system: monoclinic

CIF file:
```
data_Ac2CeSn3
_chemical_formula_sum 'Ac8 Ce4 Sn12'
_cell_length_a 6.7463
_cell_length_b 16.4253
_cell_length_c 7.8259
_cell_angle_alpha 90.00
_cell_angle_beta 107.13
_cell_angle_gamma 90.00
_space_group_name_H-M_alt 'C 1 2/c 1'
_space_group_IT_number 15
loop_
_space_group_symop_operation_xyz
'x,y,z'
'-x,-y,-z'
'-x,y,-z+1/2'
'x,-y,z+1/2'
'x+1/2,y+1/2,z'
'-x+1/2,-y+1/2,-z'
'-x+1/2,y+1/2,-z+1/2'
'x+1/2,-y+1/2,z+1/2'
loop_
_atom_site_label
_atom_site_type_symbol
_atom_site_fract_x
_atom_site_fract_y
_atom_site_fract_z
_atom_site_occupancy
Ac1 Ac 0.0000 0.0202 0.2500 1
Ac2 Ac 0.0000 0.3261 0.2500 1
Ce1 Ce 0.0000 0.3443 0.7500 1
Sn1 Sn 0.0000 0.5000 0.0000 1
Sn2 Sn 0.0322 0.1701 0.9561 1
```

=====

TcAsBr4 after structural relaxation, computed with PBE-GGA.

Properties
total magnetic moment: 2.2 μB/f.u.
DOS(E_F): 27.4 states/eV per cell
crystal system: cubic
ΔE_f (raw): 1318 meV/atom

CIF file:
```
data_TcAsBr4
_chemical_formula_sum 'Tc4 As4 Br16'
_cell_length_a 8.7283
_cell_length_b 8.7283
_cell_length_c 8.7283
_cell_angle_alpha 90.00
_cell_angle_beta 90.00
_cell_angle_gamma 90.00
_space_group_name_H-M_alt 'F -4 3 m'
_space_group_IT_number 216
_space_group_name_Hall 'F -4 2 3'
loop_
_atom_site_label
_atom_site_type_symbol
_atom_site_fract_x
_atom_site_fract_y
_atom_site_fract_z
_atom_site_occupancy
Tc1 Tc 0.0000 0.0000 0.0000 1
As1 As 0.2500 0.2500 0.7500 1
Br1 Br 0.1258 0.1258 0.3742 1
```

=====

Q: What is the formula in the second record?
A: TcAsBr4

=====

Q: The highest DOS(E_F) belongs to which entry?
A: Ac2CeSn3

=====

Q: What is the formula in the second record?
A: TcAsBr4